A plane-wave DFT calculation with PBE was carried out for MgScIn4Pd2 after structural relaxation.

The total DFT energy (no corrections) comes out at -3.83 eV per atom. For the formation energy, the calculation gives -172 meV/atom. The calculation puts the magnetic moment at 0.00 μB per atom.

The space group is P4/mmm (No. 123) and the conventional cell measures 4.2230, 4.2230 and 10.6203 Å, with angles of 90.00, 90.00 and 90.00 degrees. The distinct sites, in fractional coordinates, are Mg at (0.0000, 0.0000, 0.0000), Sc at (0.0000, 0.0000, 0.5000), In at (0.0000, 0.5000, 0.2897) and Pd at (0.5000, 0.5000, 0.1211).